[1]
{
  "formula": "Rb2ZnOsRh",
  "functional": "SCAN",
  "state": "PBEsol geometry",
  "sg": "P4/mmm (123)",
  "volume_a3_per_atom": 35.01,
  "dft_energy_ev_per_atom": -30.5006,
  "e_form_mev_per_atom": 1628.4,
  "lattice_angstrom": [[4.7503, 0.0000, 0.0000], [0.0000, 6.0705, 0.0000], [0.0000, 0.0000, 6.0705]],
  "species": ["Zn", "Rh", "Os", "Rb", "Rb"],
  "fractional_positions": [[0.5000, 0.0000, 0.0000], [0.5000, 0.5000, 0.5000], [0.0000, 0.0000, 0.0000], [0.0000, 0.5000, 0.0000], [0.0000, 0.0000, 0.5000]]
}

***

[2]
{
  "formula": "IrPtCl2",
  "functional": "SCAN",
  "state": "PBEsol geometry",
  "sg": "C2/m (12)",
  "volume_a3_per_atom": 15.55,
  "relative_energy_mev_per_atom": 820,
  "dft_energy_ev_per_atom": -38.5527,
  "raw_formation_energy_ev_per_atom": 0.759,
  "lattice_angstrom": [[-2.8119, 0.9540, -0.6000], [-1.4283, -2.6183, 3.9566], [2.7307, 4.1520, 0.7390]],
  "species": ["Ir", "Cl", "Cl", "Pt"],
  "fractional_positions": [[0.0000, 0.0000, 0.0000], [0.0000, 0.0000, 0.5000], [0.5000, 0.5000, 0.5000], [0.5000, 0.5000, 0.0000]]
}